Entry 1:
VASP calculation (PBE) on crystalline Li3Ta at its relaxed geometry.

POSCAR file:
```
Li3Ta
1.0
4.915 -1.285 0.000
4.915 1.285 0.000
-0.390 0.000 5.489
Li Ta
3 1
Cartesian
0.000 0.000 0.000
2.161 0.000 4.097
7.279 0.000 1.391
4.720 0.000 2.744
```

Computed properties:
Volume in Å³/atom: 17.33
Energy relative to the lowest polymorph listed for this composition in meV/atom: 228
Space group: C2/m, No. 12
Magnetization in μB/cell: 0.00
E in eV/atom: -3.963
Formation enthalpy at 0 K in eV per atom: 0.44

---

Entry 2:
VASP calculation (PBE) on crystalline HfCu3Si at its relaxed geometry.

POSCAR file:
```
HfCu3Si
1.0
4.315 0.000 0.000
0.000 4.315 0.000
0.000 0.000 4.315
Hf Cu Si
1 3 1
Cartesian
0.000 0.000 0.000
0.000 2.158 2.158
2.158 0.000 2.158
2.158 2.158 0.000
2.158 2.158 2.158
```

Computed properties:
Volume in Å³/atom: 16.07
Energy relative to the lowest polymorph listed for this composition in meV/atom: 0
Space group: Pm-3m, No. 221
Magnetization in μB/cell: 0.00
E in eV/atom: -5.200
Uncorrected formation energy in eV per atom: 0.3329

---

Entry 3:
VASP calculation (PBE) on crystalline Ce2AsH2 at its relaxed geometry.

POSCAR file:
```
Ce2AsH2
1.0
4.834 -3.671 0.000
4.834 3.671 0.000
-4.027 0.000 4.794
Ce As H
4 2 4
Cartesian
0.913 1.229 0.860
-1.100 -1.229 3.257
6.742 1.229 1.537
4.729 -1.229 3.934
3.827 0.111 1.199
1.814 -0.111 3.596
-0.830 0.891 2.401
1.184 -0.891 0.004
4.458 0.891 4.790
6.471 -0.891 2.393
```

Computed properties:
Volume in Å³/atom: 17.02
Energy relative to the lowest polymorph listed for this composition in meV/atom: 23
Space group: C2/c, No. 15
Magnetization in μB/cell: 3.84
E in eV/atom: -5.433

---

Entry 4:
VASP calculation (PBE) on crystalline InCoSiPd2 at its relaxed geometry.

POSCAR file:
```
InCoSiPd2
1.0
4.749 0.000 0.000
0.000 4.749 0.000
0.000 0.000 4.179
In Co Si Pd
1 1 1 2
Cartesian
0.000 0.000 0.000
2.375 2.375 2.089
2.375 2.375 0.000
0.000 2.375 2.089
2.375 0.000 2.089
```

Computed properties:
Volume in Å³/atom: 18.85
Space group: P4/mmm, No. 123
Magnetization in μB/cell: 1.52
E in eV/atom: -4.750
Uncorrected formation energy in eV per atom: 0.3806

---

Entry 5:
VASP calculation (PBE) on crystalline Pr2TmTl at its relaxed geometry.

POSCAR file:
```
Pr2TmTl
1.0
1.847 1.066 11.143
-1.847 1.066 11.143
0.000 -2.132 11.143
Pr Tm Tl
2 1 1
Cartesian
0.000 0.000 0.000
0.000 0.000 5.735
0.000 0.000 14.014
0.000 0.000 19.576
```

Computed properties:
Volume in Å³/atom: 32.91
Energy relative to the lowest polymorph listed for this composition in meV/atom: 103
Space group: R3m, No. 160
Magnetization in μB/cell: 0.25
E in eV/atom: -4.186
Formation enthalpy at 0 K in eV per atom: -0.09

---

Entry 6:
VASP calculation (PBE) on crystalline Np2PaSb4 at its relaxed geometry.

POSCAR file:
```
Np2PaSb4
1.0
4.314 0.000 0.000
0.000 4.314 0.000
0.000 0.000 11.070
Np Pa Sb
2 1 4
Cartesian
0.000 2.157 2.441
2.157 0.000 8.629
0.000 0.000 5.535
0.000 0.000 0.000
0.000 2.157 7.713
2.157 0.000 3.357
2.157 2.157 0.000
```

Computed properties:
Volume in Å³/atom: 29.43
Space group: P-4m2, No. 115
Magnetization in μB/cell: 10.38
E in eV/atom: -7.526
Uncorrected formation energy in eV per atom: -0.1162

---

Entry 7:
VASP calculation (PBE) on crystalline Si2SbOs at its relaxed geometry.

POSCAR file:
```
Si2SbOs
1.0
1.546 0.893 8.503
-1.546 0.893 8.503
0.000 -1.785 8.503
Si Sb Os
2 1 1
Cartesian
0.000 0.000 5.990
0.000 0.000 19.519
0.000 0.000 0.000
0.000 0.000 12.755
```

Computed properties:
Volume in Å³/atom: 17.60
Space group: R-3m, No. 166
Magnetization in μB/cell: 0.00
E in eV/atom: -6.326
Uncorrected formation energy in eV per atom: 0.2231

---

Entry 8:
VASP calculation (PBE) on crystalline Ba2MnNi at its relaxed geometry.

POSCAR file:
```
Ba2MnNi
1.0
0.000 3.947 3.947
3.947 0.000 3.947
3.947 3.947 0.000
Ba Mn Ni
2 1 1
Cartesian
1.974 1.974 1.974
5.921 5.921 5.921
0.000 0.000 0.000
3.947 3.947 3.947
```

Computed properties:
Volume in Å³/atom: 30.75
Energy relative to the lowest polymorph listed for this composition in meV/atom: 255
Space group: Fm-3m, No. 225
Magnetization in μB/cell: 3.79
E in eV/atom: -4.169
Formation enthalpy at 0 K in eV per atom: 0.53

---

Entry 9:
VASP calculation (PBE) on crystalline NaNdCN2 at its relaxed geometry.

POSCAR file:
```
NaNdCN2
1.0
7.346 0.000 0.000
0.000 4.314 0.000
0.000 0.000 5.707
Na Nd C N
2 2 2 4
Cartesian
1.836 0.000 0.640
5.509 0.000 5.067
1.836 2.157 3.186
5.509 2.157 2.521
0.000 2.157 0.000
3.673 2.157 0.000
0.340 2.157 1.203
3.333 2.157 1.203
4.013 2.157 4.504
7.006 2.157 4.504
```

Computed properties:
Volume in Å³/atom: 18.08
Space group: Pmma, No. 51
Magnetization in μB/cell: 0.00
E in eV/atom: -6.743
Uncorrected formation energy in eV per atom: -0.3512

---

Entry 10:
VASP calculation (PBE) on crystalline Ca2MnP at its relaxed geometry.

POSCAR file:
```
Ca2MnP
1.0
-5.256 5.256 2.228
5.256 -5.256 2.228
5.256 5.256 -2.228
Ca Mn P
4 2 2
Cartesian
0.916 2.628 0.557
-2.628 4.340 1.671
-0.916 7.883 0.557
2.628 6.172 1.671
5.256 0.000 1.114
0.000 0.000 2.228
0.000 0.000 0.000
0.000 5.256 1.114
```

Computed properties:
Volume in Å³/atom: 30.76
Space group: I-42d, No. 122
Magnetization in μB/cell: 7.04
E in eV/atom: -4.830
Formation enthalpy at 0 K in eV per atom: -0.18

---

Entry 11:
VASP calculation (PBE) on crystalline BePb2Br at its relaxed geometry.

POSCAR file:
```
BePb2Br
1.0
3.325 0.000 0.000
0.000 3.325 0.000
0.000 0.000 9.872
Be Pb Br
1 2 1
Cartesian
0.000 0.000 0.000
0.000 0.000 5.083
1.662 1.662 7.791
1.662 1.662 1.251
```

Computed properties:
Volume in Å³/atom: 27.28
Energy relative to the lowest polymorph listed for this composition in meV/atom: 144
Space group: P4mm, No. 99
Magnetization in μB/cell: 0.00
E in eV/atom: -2.948
Uncorrected formation energy in eV per atom: 0.2561

---

Entry 12:
VASP calculation (PBE) on crystalline KLa2PmS4 at its relaxed geometry.

POSCAR file:
```
KLa2PmS4
1.0
7.202 0.000 0.000
0.000 4.157 0.000
-2.400 0.000 6.912
K La Pm S
1 2 1 4
Cartesian
0.000 0.000 0.000
2.401 0.000 3.456
3.601 2.079 0.000
-1.200 2.079 3.456
0.016 0.000 5.120
1.239 2.079 1.840
3.563 2.079 5.071
4.787 0.000 1.792
```

Computed properties:
Volume in Å³/atom: 25.87
Space group: P2/m, No. 10
Magnetization in μB/cell: 0.00
E in eV/atom: -5.980
Uncorrected formation energy in eV per atom: -1.9535

---

Entry 13:
VASP calculation (PBE) on crystalline Sr4Te2AsI at its relaxed geometry.

POSCAR file:
```
Sr4Te2AsI
1.0
8.104 0.000 0.000
0.000 4.706 0.000
-2.633 0.000 7.746
Sr Te As I
4 2 1 1
Cartesian
1.316 0.000 1.747
-0.013 2.353 6.023
5.484 2.353 1.722
4.155 0.000 5.999
4.052 0.000 0.000
2.736 2.353 3.873
0.000 2.353 0.000
-1.316 0.000 3.873
```

Computed properties:
Volume in Å³/atom: 36.93
Space group: P2/m, No. 10
Magnetization in μB/cell: 0.00
E in eV/atom: -3.949
Uncorrected formation energy in eV per atom: -1.5478

---

Entry 14:
VASP calculation (PBE) on crystalline Cs2Li2Mg at its relaxed geometry.

POSCAR file:
```
Cs2Li2Mg
1.0
8.554 0.000 0.000
0.000 8.554 0.000
0.000 0.000 6.511
Cs Li Mg
4 4 2
Cartesian
1.602 2.675 0.000
2.675 6.952 0.000
5.878 1.602 0.000
6.952 5.878 0.000
1.157 5.434 3.256
3.120 1.157 3.256
5.434 7.397 3.256
7.397 3.120 3.256
0.000 0.000 3.256
4.277 4.277 3.256
```

Computed properties:
Volume in Å³/atom: 47.64
Energy relative to the lowest polymorph listed for this composition in meV/atom: 0
Space group: P4/mbm, No. 127
Magnetization in μB/cell: 0.00
E in eV/atom: -1.187
Formation enthalpy at 0 K in eV per atom: 0.24

---

Entry 15:
VASP calculation (PBE) on crystalline CsLiCd2Br6 at its relaxed geometry.

POSCAR file:
```
CsLiCd2Br6
1.0
7.813 -6.724 0.000
7.813 6.724 0.000
-3.324 0.000 7.063
Cs Li Cd Br
2 2 4 12
Cartesian
5.320 4.200 5.298
6.982 -4.200 1.766
6.982 1.895 1.766
5.320 -1.895 5.298
0.711 1.399 6.403
2.373 -1.399 2.871
9.929 1.399 4.192
11.592 -1.399 0.661
4.573 3.062 1.879
1.969 0.257 0.527
0.306 -0.257 4.059
3.304 1.178 6.379
9.391 3.062 1.653
4.966 -1.178 2.847
7.336 1.178 4.216
2.911 -3.062 5.411
8.999 -1.178 0.684
11.996 0.257 3.004
10.334 -0.257 6.536
7.729 -3.062 5.184
```

Computed properties:
Volume in Å³/atom: 37.11
Space group: C2/c, No. 15
Magnetization in μB/cell: 0.00
E in eV/atom: -2.641
Uncorrected formation energy in eV per atom: -1.1778

---

Entry 16:
VASP calculation (PBE) on crystalline LiPtIO2 at its relaxed geometry.

POSCAR file:
```
LiPtIO2
1.0
3.809 0.000 0.000
0.000 3.809 0.000
0.000 0.000 8.355
Li Pt I O
1 1 1 2
Cartesian
0.000 0.000 0.000
1.905 1.905 4.178
1.905 1.905 0.000
0.000 1.905 4.178
1.905 0.000 4.178
```

Computed properties:
Volume in Å³/atom: 24.25
Energy relative to the lowest polymorph listed for this composition in meV/atom: 0
Space group: P4/mmm, No. 123
Magnetization in μB/cell: 0.07
E in eV/atom: -4.330
Uncorrected formation energy in eV per atom: -0.4459

---

Entry 17:
VASP calculation (PBE) on crystalline LaPmSm2Ho5 at its relaxed geometry.

POSCAR file:
```
LaPmSm2Ho5
1.0
-4.377 4.377 7.752
4.377 -4.377 7.752
4.377 4.377 -7.752
La Pm Sm Ho
2 2 4 10
Cartesian
0.000 0.000 3.876
0.000 0.000 11.629
4.377 0.000 3.876
0.000 4.377 3.876
5.400 1.024 0.000
1.024 3.353 0.000
3.353 1.024 7.752
-1.024 3.353 7.752
0.000 0.000 0.000
2.564 1.813 -2.090
2.564 -1.813 5.662
2.564 1.813 2.090
2.564 -1.813 9.843
0.000 0.000 7.752
1.813 6.190 -2.090
1.813 2.564 5.662
1.813 6.190 2.090
1.813 2.564 9.843
```

Computed properties:
Volume in Å³/atom: 33.00
Space group: I4/mcm, No. 140
Magnetization in μB/cell: 0.00
E in eV/atom: -4.413
Formation enthalpy at 0 K in eV per atom: 0.25

---

Entry 18:
VASP calculation (PBE) on crystalline Ca8BiAs5 at its relaxed geometry.

POSCAR file:
```
Ca8BiAs5
1.0
-4.571 4.571 4.499
4.571 -4.571 4.499
4.571 4.571 -4.499
Ca Bi As
8 1 5
Cartesian
3.878 1.510 0.506
3.061 -0.693 3.993
0.627 1.728 1.675
1.510 5.265 -0.506
-2.844 3.945 2.824
2.844 5.198 2.824
0.693 3.061 5.005
-0.627 7.415 1.675
0.000 0.000 4.499
1.201 2.308 -1.165
6.835 1.201 1.165
3.371 2.264 3.334
0.000 4.571 2.250
-2.264 3.371 5.664
```

Computed properties:
Volume in Å³/atom: 26.86
Space group: I-4, No. 82
Magnetization in μB/cell: 0.00
E in eV/atom: -4.154
Formation enthalpy at 0 K in eV per atom: -1.07

---

Entry 19:
VASP calculation (PBE) on crystalline Rb3Na3Hg2 at its relaxed geometry.

POSCAR file:
```
Rb3Na3Hg2
1.0
10.086 0.000 0.000
0.000 19.837 0.000
0.000 0.000 7.269
Rb Na Hg
12 12 8
Cartesian
0.312 2.136 0.765
0.312 7.782 0.765
1.684 4.959 4.630
3.360 14.878 0.995
4.731 12.055 4.399
4.731 17.701 4.399
5.355 2.136 2.869
5.355 7.782 2.869
6.727 4.959 6.273
8.403 14.878 2.639
9.774 12.055 6.504
9.774 17.701 6.504
1.690 0.685 4.333
1.690 9.233 4.333
1.709 14.878 4.479
3.335 4.959 0.844
3.353 10.604 0.699
3.353 19.152 0.699
6.733 0.685 6.570
6.733 9.233 6.570
6.752 14.878 6.425
8.378 4.959 2.790
8.396 10.604 2.936
8.396 19.152 2.936
1.240 12.108 2.786
1.240 17.647 2.786
3.803 2.190 6.420
3.803 7.729 6.420
6.284 12.108 0.849
6.284 17.647 0.849
8.846 2.190 4.483
8.846 7.729 4.483
```

Computed properties:
Volume in Å³/atom: 45.45
Space group: Pnma, No. 62
Magnetization in μB/cell: 0.00
E in eV/atom: -1.057
Formation enthalpy at 0 K in eV per atom: -0.12

---

Entry 20:
VASP calculation (PBE) on crystalline Na4EuPb at its relaxed geometry.

POSCAR file:
```
Na4EuPb
1.0
0.000 4.592 4.592
4.592 0.000 4.592
4.592 4.592 0.000
Na Eu Pb
4 1 1
Cartesian
1.145 1.145 1.145
3.447 3.447 1.145
3.447 1.145 3.447
1.145 3.447 3.447
4.592 4.592 4.592
6.888 6.888 6.888
```

Computed properties:
Volume in Å³/atom: 32.27
Space group: F-43m, No. 216
Magnetization in μB/cell: 7.13
E in eV/atom: -3.236
Formation enthalpy at 0 K in eV per atom: -0.03

---

Entry 21:
VASP calculation (PBE) on crystalline CsLaZnTe3 at its relaxed geometry.

POSCAR file:
```
CsLaZnTe3
1.0
10.526 0.000 0.000
0.000 4.597 0.000
-3.700 0.000 10.378
Cs La Zn Te
2 2 2 6
Cartesian
1.337 1.149 2.534
5.489 3.448 7.844
0.262 3.448 8.894
6.564 1.149 1.484
-1.389 1.149 6.352
8.214 3.448 4.026
-2.024 1.149 8.915
-0.027 3.448 5.562
4.338 3.448 1.697
2.488 1.149 8.681
6.853 1.149 4.816
8.850 3.448 1.463
```

Computed properties:
Volume in Å³/atom: 41.84
Energy relative to the lowest polymorph listed for this composition in meV/atom: 23
Space group: P2_1/m, No. 11
Magnetization in μB/cell: 0.00
E in eV/atom: -3.890
Uncorrected formation energy in eV per atom: -1.1430

---

Entry 22:
VASP calculation (PBE) on crystalline K2BPt2 at its relaxed geometry.

POSCAR file:
```
K2BPt2
1.0
5.299 -3.865 0.000
5.299 3.865 0.000
-0.864 0.000 2.910
K B Pt
2 1 2
Cartesian
1.922 0.000 0.574
7.812 0.000 2.337
5.299 0.000 0.000
4.867 1.423 1.455
4.867 -1.423 1.455
```

Computed properties:
Volume in Å³/atom: 23.84
Space group: C2/m, No. 12
Magnetization in μB/cell: 0.00
E in eV/atom: -4.333
Formation enthalpy at 0 K in eV per atom: -0.14

---

Entry 23:
VASP calculation (PBE) on crystalline CrP2Se at its relaxed geometry.

POSCAR file:
```
CrP2Se
1.0
1.865 -1.872 0.000
1.865 1.872 0.000
0.000 0.000 11.159
Cr P Se
1 2 1
Cartesian
0.000 0.000 0.000
1.865 0.000 1.666
1.865 0.000 9.493
0.000 0.000 5.579
```

Computed properties:
Volume in Å³/atom: 19.48
Space group: Cmmm, No. 65
Magnetization in μB/cell: 1.71
E in eV/atom: -5.859
Uncorrected formation energy in eV per atom: 0.1234